(1)
Mg3Si4: optimized geometry, PBE.

a b c (Å): 10.421 10.421 8.647
angles (deg): 89.62 89.62 15.56
Element x y z (fractional)
Mg1 0.801 0.801 0.587
Mg2 0.800 0.800 0.092
Mg3 0.195 0.195 0.840
Mg4 0.942 0.942 0.843
Mg5 0.212 0.212 0.341
Mg6 0.062 0.062 0.335
Si1 0.657 0.657 0.578
Si2 0.548 0.548 0.689
Si3 0.549 0.549 0.985
Si4 0.657 0.657 0.105
Si5 0.349 0.349 0.339
Si6 0.330 0.330 0.839
Si7 0.456 0.456 0.493
Si8 0.457 0.457 0.181

Values from the calculation:
Total magnetic moment: 0.00 μB per atom
Energy relative to the lowest polymorph listed for this composition: 78 meV per atom
SG: No. 8
Formation energy from raw total energies: 0.130 eV per atom

(2)
LaCeTlO2: optimized geometry, PBE.

a b c (Å): 4.039 4.039 7.454
angles (deg): 105.72 105.72 90.00
Element x y z (fractional)
La1 0.161 0.161 0.322
Ce1 0.834 0.834 0.668
Tl1 0.495 0.495 0.990
O1 0.755 0.255 0.510
O2 0.255 0.755 0.510

Values from the calculation:
Total magnetic moment: 0.00 μB per atom
SG: No. 107
Formation energy from raw total energies: -2.421 eV per atom

(3)
V2GeCl8: optimized geometry, PBE.

a b c (Å): 6.378 7.799 7.799
angles (deg): 75.57 96.66 96.66
Element x y z (fractional)
V1 0.646 0.200 0.200
V2 0.354 0.800 0.800
Ge1 0.000 0.000 0.000
Cl1 0.232 0.073 0.719
Cl2 0.232 0.719 0.073
Cl3 0.768 0.927 0.281
Cl4 0.223 0.627 0.627
Cl5 0.768 0.281 0.927
Cl6 0.289 0.185 0.185
Cl7 0.711 0.815 0.815
Cl8 0.777 0.373 0.373

Values from the calculation:
Total magnetic moment: 0.36 μB per atom
SG: No. 12
Formation energy from raw total energies: -1.013 eV per atom

(4)
CsLiGaSe2: optimized geometry, PBE.

a b c (Å): 6.658 5.850 8.325
angles (deg): 110.57 90.00 90.00
Element x y z (fractional)
Cs1 0.237 0.750 0.500
Cs2 0.763 0.250 0.500
Li1 0.500 0.750 0.000
Li2 0.500 0.250 0.000
Ga1 0.000 0.000 0.000
Ga2 0.000 0.500 0.000
Se1 0.719 0.897 0.793
Se2 0.719 0.603 0.207
Se3 0.281 0.397 0.793
Se4 0.281 0.103 0.207

Values from the calculation:
Total magnetic moment: 0.00 μB per atom
SG: No. 67
Formation energy from raw total energies: -0.762 eV per atom

(5)
PmHoSbS: optimized geometry, PBE.

a b c (Å): 4.095 4.096 7.770
angles (deg): 90.01 105.27 120.00
Element x y z (fractional)
Pm1 0.974 0.385 0.374
Ho1 0.296 0.546 0.858
Sb1 0.128 0.962 0.105
S1 0.479 0.138 0.632

Values from the calculation:
Total magnetic moment: 0.13 μB per atom
SG: No. 160
Formation energy from raw total energies: -1.403 eV per atom

(6)
ErPuFeIr: optimized geometry, PBE.

a b c (Å): 4.780 4.780 4.780
angles (deg): 60.00 60.00 60.00
Element x y z (fractional)
Er1 0.000 0.000 0.000
Ir1 0.250 0.250 0.250
Fe1 0.750 0.750 0.750
Pu1 0.500 0.500 0.500

Values from the calculation:
Total magnetic moment: 0.84 μB per atom
SG: No. 216
VASP energy: -9.38 eV per atom

- Among the records above, which one has the highest total magnetic moment?
  ErPuFeIr